The following is a PBE calculation of a relaxed structure of Re3IrW, from the Alexandria database.

- Energy above the most stable polymorph in this dataset: 0.0204 eV per atom
- Calculated formation energy: 2.5043 eV per atom
- Theoretical density: 15.46 g/cm³
- M_tot: 0.0 μB/f.u.
- Electronic total energy: -46.6 eV/cell

Unit cell a=4.647 b=4.647 c=4.647 alpha=90.00 beta=90.00 gamma=90.00
Space group Pm-3m (No. 221)
Symmetry-distinct sites (fractional):
Re  0.000  0.000  0.500 (multiplicity 3)
Ir  0.500  0.500  0.500 (multiplicity 1)
W  0.000  0.000  0.000 (multiplicity 1)